Arrangement w

{
  "formula": "ErCuIr",
  "functional": "PBE-GGA",
  "state": "optimized geometry",
  "lattice": [[4.288, 0.000, 0.000], [-2.144, 3.714, 0.000], [0.000, 0.000, 3.468]],
  "species": ["Er", "Cu", "Ir"],
  "fractional_positions": [[0.000, 0.000, 0.000], [0.333, 0.667, 0.500], [0.667, 0.333, 0.500]]
}

Arrangement x

{
  "formula": "ErCuIr",
  "functional": "PBE-GGA",
  "state": "optimized geometry",
  "lattice": [[-2.475, 2.770, 3.732], [2.475, -2.770, 3.732], [2.475, 2.770, -3.732]],
  "species": ["Er", "Er", "Cu", "Cu", "Ir", "Ir"],
  "fractional_positions": [[0.373, 0.123, 0.250], [0.627, 0.877, 0.750], [0.000, 0.000, 0.500], [0.000, 0.500, 0.000], [0.000, 0.500, 0.500], [0.500, 0.500, 0.000]]
}

Arrangement y

{
  "formula": "ErCuIr",
  "functional": "PBE-GGA",
  "state": "optimized geometry",
  "lattice": [[-1.968, 1.968, 7.009], [1.968, -1.968, 7.009], [1.968, 1.968, -7.009]],
  "species": ["Er", "Er", "Cu", "Cu", "Ir", "Ir"],
  "fractional_positions": [[0.171, 0.171, 0.000], [0.829, 0.829, 0.000], [0.000, 0.500, 0.500], [0.500, 0.000, 0.500], [0.379, 0.379, 0.000], [0.621, 0.621, 0.000]]
}

Which structure is the least stable? The one labeled arrangement w.

Arrangement w

{
  "formula": "Er8Cu2Ir",
  "functional": "PBE-GGA",
  "state": "optimized geometry",
  "lattice": [[4.076, -6.530, 0.000], [4.076, 6.530, 0.000], [-2.167, 0.000, 5.446]],
  "species": ["Er", "Er", "Er", "Er", "Er", "Er", "Er", "Er", "Cu", "Cu", "Ir"],
  "fractional_positions": [[0.000, 0.000, 0.000], [0.020, 0.271, 0.590], [0.160, 0.563, 0.193], [0.271, 0.020, 0.590], [0.453, 0.704, 0.816], [0.563, 0.160, 0.193], [0.704, 0.453, 0.816], [0.722, 0.722, 0.380], [0.052, 0.660, 0.685], [0.660, 0.052, 0.685], [0.360, 0.360, 0.018]]
}

Arrangement x

{
  "formula": "Er8Cu2Ir",
  "functional": "PBE-GGA",
  "state": "optimized geometry",
  "lattice": [[8.555, -2.519, 0.000], [8.555, 2.519, 0.000], [-1.888, 0.000, 6.336]],
  "species": ["Er", "Er", "Er", "Er", "Er", "Er", "Er", "Er", "Cu", "Cu", "Ir"],
  "fractional_positions": [[0.033, 0.033, 0.292], [0.201, 0.201, 0.824], [0.334, 0.334, 0.522], [0.410, 0.410, 0.059], [0.590, 0.590, 0.941], [0.666, 0.666, 0.478], [0.799, 0.799, 0.176], [0.967, 0.967, 0.708], [0.185, 0.185, 0.223], [0.815, 0.815, 0.777], [0.500, 0.500, 0.500]]
}

Which structure is the least stable? The one labeled arrangement w.

Arrangement w

{
  "formula": "LaErCu4",
  "functional": "PBE-GGA",
  "state": "optimized geometry",
  "lattice": [[0.000, 3.769, 3.769], [3.769, 0.000, 3.769], [3.769, 3.769, 0.000]],
  "species": ["La", "Er", "Cu", "Cu", "Cu", "Cu"],
  "fractional_positions": [[0.000, 0.000, 0.000], [0.250, 0.250, 0.250], [0.130, 0.623, 0.623], [0.623, 0.130, 0.623], [0.623, 0.623, 0.130], [0.623, 0.623, 0.623]]
}

Arrangement x

{
  "formula": "LaErCu4",
  "functional": "PBE-GGA",
  "state": "optimized geometry",
  "lattice": [[-1.963, 1.963, 7.711], [1.963, -1.963, 7.711], [1.963, 1.963, -7.711]],
  "species": ["La", "Er", "Cu", "Cu", "Cu", "Cu"],
  "fractional_positions": [[0.000, 0.000, 0.000], [0.750, 0.250, 0.500], [0.172, 0.672, 0.500], [0.328, 0.828, 0.500], [0.417, 0.417, 0.000], [0.583, 0.583, 0.000]]
}

Which structure is the least stable? The one labeled arrangement w.